# 1
Below is crystalline Tm2B3C4 at its relaxed geometry, with properties calculated at the PBE level.

Output
- density of states at the Fermi level (states/eV/f.u.) = 1.22
- volume (Å³ per cell) = 184
- theoretical density (g cm⁻³) = 7.55
- energy (eV per atom) = -6.90
- symmetry = Cmce (64)
- formation enthalpy at 0 K (eV/atom) = 0.42

The structure in extended XYZ format:
```
18
Lattice="2.245 -5.680 0.000 2.245 5.680 0.000 0.000 0.000 7.212" Properties=species:S:1:pos:R:3 pbc="T T T"
Tm 2.245 4.264 6.642
Tm 2.245 1.416 3.036
Tm 2.245 -1.416 4.175
Tm 2.245 -4.264 0.570
B 0.000 0.000 3.606
B 1.122 2.173 5.409
B 1.122 -2.173 1.803
B 2.245 0.000 0.000
B 3.367 2.173 5.409
B 3.367 -2.173 1.803
C 1.122 0.533 5.409
C 2.245 3.004 4.727
C 2.245 2.676 1.121
C 1.122 -0.533 1.803
C 3.367 0.533 5.409
C 2.245 -2.676 6.090
C 2.245 -3.004 2.485
C 3.367 -0.533 1.803
```

# 2
Below is crystalline TmB2C2 at its relaxed geometry, with properties calculated at the PBE level.

Output
- density of states at the Fermi level (states/eV/f.u.) = 0.96
- volume (Å³ per cell) = 99
- theoretical density (g cm⁻³) = 7.20
- energy (eV per atom) = -7.70
- symmetry = P4/mbm (127)
- formation enthalpy at 0 K (eV/atom) = -0.44

The structure in extended XYZ format:
```
10
Lattice="5.332 0.000 0.000 0.000 5.332 0.000 0.000 0.000 3.480" Properties=species:S:1:pos:R:3 pbc="T T T"
Tm 0.000 0.000 0.000
Tm 2.666 2.666 0.000
B 0.726 1.940 1.740
B 1.940 4.606 1.740
B 3.392 0.726 1.740
B 4.606 3.392 1.740
C 0.866 3.532 1.740
C 1.800 0.866 1.740
C 3.532 4.466 1.740
C 4.466 1.800 1.740
```